{
  "formula": "Cs2BaNbS4",
  "functional": "PBE",
  "state": "optimized geometry",
  "lattice": [[-6.996, 1.924, 1.606], [3.339, -4.050, 5.260], [4.717, 5.725, -0.451]],
  "species": ["Cs", "Cs", "Ba", "Nb", "S", "S", "S", "S"],
  "frac_coords": [[0.500, 0.750, 0.250], [0.000, 0.000, 0.000], [0.500, 0.250, 0.750], [0.000, 0.500, 0.500], [0.640, 0.422, 0.458], [0.037, 0.218, 0.578], [0.963, 0.542, 0.182], [0.360, 0.818, 0.782]],
  "final_energy_ev_per_atom": -5.0237
}